(1)
The following is a PBE calculation of crystalline FeAs3 at its relaxed geometry, from Alexandria.

Summary:
Energy of formation from the pure elements in meV per atom: 511
Energy relative to the lowest polymorph listed for this composition in eV/atom: 0.4645
Symmetry: I4/mmm
Crystal system: tetragonal

abc: 5.2495 5.2495 5.2495
angles: 135.90 135.90 64.14
Closest atoms and distances in Å follow each position.
Positions (direct):
1 As 0.7500 0.2500 0.5000  8 As 2.79-2.97, 4 Fe 2.97
2 As 0.5000 0.5000 0.0000  4 Fe 2.79, 8 As 2.97
3 As 0.2500 0.7500 0.5000  8 As 2.79-2.97, 4 Fe 2.97
4 Fe 0.0000 0.0000 0.0000  12 As 2.79-2.97

(2)
The following is a PBE calculation of crystalline Na3SiSe at its relaxed geometry, from Alexandria.

Summary:
Energy relative to the lowest polymorph listed for this composition in eV/atom: 0.0000
E_form (uncorrected) in kJ/mol of atoms: -5.9
Symmetry: Pm-3m
Crystal system: cubic

abc: 5.5195 5.5195 5.5195
angles: 90.00 90.00 90.00
Closest atoms and distances in Å follow each position.
Positions (direct):
1 Se 0.0000 0.0000 0.0000  6 Na 2.76
2 Si 0.5000 0.5000 0.5000  12 Na 3.90
3 Na 0.0000 0.0000 0.5000  2 Se 2.76
4 Na 0.5000 0.0000 0.0000  2 Se 2.76
5 Na 0.0000 0.5000 0.0000  2 Se 2.76

(3)
The following is a PBE calculation of crystalline Th2NpAl2Ru5 at its relaxed geometry, from Alexandria.

Summary:
Energy of formation from the pure elements in meV per atom: -412
Symmetry: P4/mbm
Crystal system: tetragonal

abc: 3.5062 10.2420 10.2420
angles: 90.00 90.00 90.00
Closest atoms and distances in Å follow each position.
Positions (direct):
1 Ru 0.5000 0.9301 0.2045  2 Al 2.54, 2 Np 2.82
2 Ru 0.5000 0.7955 0.9301  2 Al 2.54, 2 Np 2.82
3 Ru 0.5000 0.7045 0.4301  2 Al 2.54, 2 Np 2.82
4 Ru 0.5000 0.5000 0.0000  4 Al 2.51
5 Ru 0.5000 0.2045 0.0699  2 Al 2.54, 2 Np 2.82
6 Ru 0.5000 0.2955 0.5699  2 Al 2.54, 2 Np 2.82
7 Ru 0.5000 0.0000 0.5000  4 Al 2.51
8 Ru 0.5000 0.4301 0.2955  2 Al 2.54, 2 Np 2.82
9 Ru 0.5000 0.0699 0.7955  2 Al 2.54, 2 Np 2.82
10 Ru 0.5000 0.5699 0.7045  2 Al 2.54, 2 Np 2.82
11 Th 0.0000 0.6718 0.1718  3 Al 2.96-3.07, 10 Ru 3.04-3.29
12 Th 0.0000 0.8282 0.6718  3 Al 2.96-3.07, 10 Ru 3.04-3.29
13 Th 0.0000 0.1718 0.3282  3 Al 2.96-3.07, 10 Ru 3.04-3.29
14 Th 0.0000 0.3282 0.8282  3 Al 2.96-3.07, 10 Ru 3.04-3.29
15 Al 0.0000 0.1242 0.6242  6 Ru 2.51-2.54
16 Al 0.0000 0.8758 0.3758  6 Ru 2.51-2.54
17 Al 0.0000 0.6242 0.8758  6 Ru 2.51-2.54
18 Al 0.0000 0.3758 0.1242  6 Ru 2.51-2.54
19 Np 0.0000 0.5000 0.5000  8 Ru 2.82
20 Np 0.0000 0.0000 0.0000  8 Ru 2.82

(4)
The following is a PBE calculation of crystalline CaHfAu2 at its relaxed geometry, from Alexandria.

Summary:
Energy of formation from the pure elements in meV per atom: -178
Symmetry: I-42d
Crystal system: tetragonal

abc: 7.5463 7.5463 6.4395
angles: 54.13 54.13 90.00
Closest atoms and distances in Å follow each position.
Positions (direct):
1 Au 0.3750 0.3434 0.7500  2 Hf 2.66, 2 Ca 2.98
2 Au 0.8750 0.9066 0.7500  2 Hf 2.66, 2 Ca 2.98
3 Au 0.0934 0.6250 0.2500  2 Hf 2.66, 2 Ca 2.98
4 Au 0.6566 0.1250 0.2500  2 Hf 2.66, 2 Ca 2.98
5 Hf 0.0000 0.0000 0.0000  4 Au 2.66
6 Hf 0.7500 0.2500 0.5000  4 Au 2.66
7 Ca 0.2500 0.7500 0.5000  4 Au 2.98
8 Ca 0.5000 0.5000 0.0000  4 Au 2.98

(5)
The following is a PBE calculation of crystalline BaHf at its relaxed geometry, from Alexandria.

Summary:
Energy of formation from the pure elements in meV per atom: 737
Energy relative to the lowest polymorph listed for this composition in eV/atom: 0.1782
Symmetry: P6_3/mmc
Crystal system: hexagonal

abc: 9.8599 9.8599 5.4763
angles: 90.00 90.00 120.00
Closest atoms and distances in Å follow each position.
Positions (direct):
1 Hf 0.5642 0.4358 0.7500  2 Hf 3.03
2 Hf 0.8717 0.4358 0.7500  2 Hf 3.03
3 Hf 0.4358 0.8717 0.2500  2 Hf 3.03
4 Hf 0.5642 0.1283 0.7500  2 Hf 3.03
5 Hf 0.1283 0.5642 0.2500  2 Hf 3.03
6 Hf 0.4358 0.5642 0.2500  2 Hf 3.03
7 Ba 0.6447 0.8224 0.7500  6 Hf 3.48-3.60
8 Ba 0.8224 0.6447 0.2500  6 Hf 3.48-3.60
9 Ba 0.1776 0.8224 0.7500  6 Hf 3.48-3.60
10 Ba 0.1776 0.3553 0.7500  6 Hf 3.48-3.60
11 Ba 0.3553 0.1776 0.2500  6 Hf 3.48-3.60
12 Ba 0.8224 0.1776 0.2500  6 Hf 3.48-3.60

(6)
The following is a PBE calculation of crystalline TcSb3C at its relaxed geometry, from Alexandria.

Summary:
Energy relative to the lowest polymorph listed for this composition in eV/atom: 0.3880
E_form (uncorrected) in kJ/mol of atoms: 159.8
Symmetry: Pm-3m
Crystal system: cubic

abc: 5.1068 5.1068 5.1068
angles: 90.00 90.00 90.00
Closest atoms and distances in Å follow each position.
Positions (direct):
1 Sb 0.0000 0.0000 0.5000  2 Tc 2.55
2 Sb 0.5000 0.0000 0.0000  2 Tc 2.55
3 Sb 0.0000 0.5000 0.0000  2 Tc 2.55
4 C 0.5000 0.5000 0.5000  12 Sb 3.61
5 Tc 0.0000 0.0000 0.0000  6 Sb 2.55

(7)
The following is a PBE calculation of crystalline NaPt at its relaxed geometry, from Alexandria.

Summary:
Energy of formation from the pure elements in meV per atom: 12
Symmetry: Pnma
Crystal system: orthorhombic

abc: 4.6411 5.2520 8.1617
angles: 90.00 90.00 90.00
Closest atoms and distances in Å follow each position.
Positions (direct):
1 Pt 0.2500 0.5758 0.0172  2 Pt 2.47
2 Pt 0.2500 0.9242 0.5172  2 Pt 2.47
3 Pt 0.7500 0.0758 0.4828  2 Pt 2.47
4 Pt 0.7500 0.4242 0.9828  2 Pt 2.47
5 Na 0.2500 0.0903 0.1808  3 Pt 2.88-3.01
6 Na 0.7500 0.9097 0.8192  3 Pt 2.88-3.01
7 Na 0.7500 0.5903 0.3192  3 Pt 2.88-3.01
8 Na 0.2500 0.4097 0.6808  3 Pt 2.88-3.01

(8)
The following is a PBE calculation of crystalline SrLaH6Pt2 at its relaxed geometry, from Alexandria.

Summary:
Symmetry: C2/c
Calculated total energy in eV/atom: -4.424
Crystal system: monoclinic

abc: 6.5239 6.5239 7.7882
angles: 117.12 117.12 77.77
Closest atoms and distances in Å follow each position.
Positions (direct):
1 La 0.6220 0.3780 0.2500  8 H 2.48-2.52
2 La 0.3780 0.6220 0.7500  8 H 2.48-2.52
3 Pt 0.8665 0.6195 0.7347  3 H 1.67-1.84
4 Pt 0.1335 0.3805 0.2653  3 H 1.67-1.84
5 Pt 0.3805 0.1335 0.7653  3 H 1.67-1.84
6 Pt 0.6195 0.8665 0.2347  3 H 1.67-1.84
7 H 0.0740 0.8159 0.8792  1 Pt 1.67
8 H 0.1841 0.9260 0.6208  1 Pt 1.67
9 H 0.6691 0.4141 0.6020  1 Pt 1.67
10 H 0.8159 0.0740 0.3792  1 Pt 1.67
11 H 0.6426 0.8443 0.7414  1 Pt 1.84
12 H 0.3574 0.1557 0.2586  1 Pt 1.84
13 H 0.8443 0.6426 0.2414  1 Pt 1.84
14 H 0.4141 0.6691 0.1020  1 Pt 1.67
15 H 0.5859 0.3309 0.8980  1 Pt 1.67
16 H 0.1557 0.3574 0.7586  1 Pt 1.84
17 H 0.9260 0.1841 0.1208  1 Pt 1.67
18 H 0.3309 0.5859 0.3980  1 Pt 1.67
19 Sr 0.1231 0.8769 0.2500  8 H 2.50-2.60
20 Sr 0.8769 0.1231 0.7500  8 H 2.50-2.60

Number 1: volume 17.28 A^3/atom, N(E_F) 1.1279 states/eV/atom. Number 2: volume 33.63 A^3/atom, N(E_F) 0.0021 states/eV/atom. Number 3: volume 18.39 A^3/atom, N(E_F) 1.0812 states/eV/atom. Number 4: volume 25.66 A^3/atom, N(E_F) 1.0764 states/eV/atom. Number 5: volume 38.42 A^3/atom, N(E_F) 1.7050 states/eV/atom. Number 6: volume 26.64 A^3/atom, N(E_F) 0.8595 states/eV/atom. Number 7: volume 24.87 A^3/atom, N(E_F) 0.8535 states/eV/atom. Number 8: volume 13.13 A^3/atom, N(E_F) 0.1957 states/eV/atom.